Density functional theory data (PBE-GGA) for a relaxed BaBe2Re crystal.

formation energy from the elements	4.90	eV/f.u.
energy relative to the lowest polymorph listed for this composition	0.807	eV/atom
space group	No. 139

The structure in POSCAR format:
```
BaBe2Re
1.0
4.864 0.002 0.000
1.250 4.701 0.000
-3.057 -2.352 2.964
Re Ba Be
1 1 2
direct
0.250 0.750 0.500 Re
0.750 0.250 0.500 Ba
0.000 0.000 0.000 Be
0.500 0.500 0.000 Be
```

***

Density functional theory data (PBE-GGA) for a relaxed MgCdAsC2 crystal.

formation energy from the elements	10.22	eV/f.u.
space group	No. 123

The structure in POSCAR format:
```
MgCdAsC2
1.0
4.180 0.000 0.000
0.000 5.165 0.000
0.000 0.000 4.180
C As Mg Cd
2 1 1 1
direct
0.000 0.000 0.500 C
0.500 0.000 0.000 C
0.000 0.500 0.000 As
0.000 0.000 0.000 Mg
0.500 0.500 0.500 Cd
```